Record 1
K3RbBr after structural relaxation. Source: Alexandria via LeMat-Bulk, functional GGA-PBE.

Unit cell a=6.7941 b=6.7941 c=6.7941 alpha=90.00 beta=90.00 gamma=90.00
Fractional positions:
K 0.0000 0.0000 0.5000
K 0.0000 0.5000 0.0000
K 0.5000 0.0000 0.0000
Rb 0.5000 0.5000 0.5000
Br 0.0000 0.0000 0.0000

Summary:
The uncorrected formation energy is -297.0 kJ/mol of formula units. The energy above the lowest structure with this stoichiometry comes out at 0.000 eV per atom.



Record 2
KRbBr2 after structural relaxation. Source: Alexandria via LeMat-Bulk, functional GGA-PBE.

Unit cell a=4.8358 b=4.8358 c=23.7595 alpha=90.00 beta=90.00 gamma=120.00
Fractional positions:
K 0.0000 0.0000 0.0000
K 0.3333 0.6667 0.6667
K 0.6667 0.3333 0.3333
Rb 0.0000 0.0000 0.5000
Rb 0.3333 0.6667 0.1667
Rb 0.6667 0.3333 0.8333
Br 0.0000 0.0000 0.2538
Br 0.0000 0.0000 0.7462
Br 0.3333 0.6667 0.4128
Br 0.3333 0.6667 0.9205
Br 0.6667 0.3333 0.0795
Br 0.6667 0.3333 0.5871

Summary:
The uncorrected formation energy is -674.3 kJ/mol of formula units. The energy above the lowest structure with this stoichiometry comes out at 0.000 eV per atom.



Record 3
K3Rb5Br12 after structural relaxation. Source: Alexandria via LeMat-Bulk, functional GGA-PBE.

Unit cell a=17.1361 b=17.1361 c=17.1361 alpha=109.47 beta=109.47 gamma=109.47
Fractional positions:
K 0.1250 0.2500 0.3750
K 0.1250 0.3750 0.7500
K 0.2500 0.3750 0.1250
K 0.2500 0.8750 0.6250
K 0.3750 0.1250 0.2500
K 0.3750 0.7500 0.1250
K 0.6250 0.2500 0.8750
K 0.6250 0.8750 0.7500
K 0.7500 0.1250 0.3750
K 0.7500 0.6250 0.8750
K 0.8750 0.6250 0.2500
K 0.8750 0.7500 0.6250
Rb 0.0000 0.0000 0.0000
Rb 0.0000 0.0000 0.5000
Rb 0.0000 0.5000 0.0000
Rb 0.0000 0.5000 0.5000
Rb 0.1250 0.7500 0.8750
Rb 0.1250 0.8750 0.2500
Rb 0.2500 0.1250 0.8750
Rb 0.2500 0.6250 0.3750
Rb 0.3750 0.2500 0.6250
Rb 0.3750 0.6250 0.7500
Rb 0.5000 0.0000 0.0000
Rb 0.5000 0.0000 0.5000
Rb 0.5000 0.5000 0.0000
Rb 0.5000 0.5000 0.5000
Rb 0.6250 0.3750 0.2500
Rb 0.6250 0.7500 0.3750
Rb 0.7500 0.3750 0.6250
Rb 0.7500 0.8750 0.1250
Rb 0.8750 0.1250 0.7500
Rb 0.8750 0.2500 0.1250
Br 0.0729 0.2463 0.1499
Br 0.0729 0.3266 0.9231
Br 0.0769 0.6499 0.4036
Br 0.0769 0.9271 0.6734
Br 0.0964 0.7463 0.6734
Br 0.0964 0.8501 0.4231
Br 0.1499 0.0729 0.2463
Br 0.1499 0.5769 0.9036
Br 0.1734 0.2463 0.5964
Br 0.1734 0.4271 0.5769
Br 0.2463 0.1499 0.0729
Br 0.2463 0.5964 0.1734
Br 0.2537 0.3266 0.9036
Br 0.2537 0.4271 0.3501
Br 0.3266 0.9036 0.2537
Br 0.3266 0.9231 0.0729
Br 0.3501 0.2537 0.4271
Br 0.3501 0.5964 0.9231
Br 0.4036 0.0769 0.6499
Br 0.4036 0.8266 0.7537
Br 0.4231 0.0964 0.8501
Br 0.4231 0.8266 0.5729
Br 0.4271 0.3501 0.2537
Br 0.4271 0.5769 0.1734
Br 0.5729 0.4231 0.8266
Br 0.5729 0.6499 0.7463
Br 0.5769 0.1734 0.4271
Br 0.5769 0.9036 0.1499
Br 0.5964 0.1734 0.2463
Br 0.5964 0.9231 0.3501
Br 0.6499 0.4036 0.0769
Br 0.6499 0.7463 0.5729
Br 0.6734 0.0769 0.9271
Br 0.6734 0.0964 0.7463
Br 0.7463 0.5729 0.6499
Br 0.7463 0.6734 0.0964
Br 0.7537 0.4036 0.8266
Br 0.7537 0.8501 0.9271
Br 0.8266 0.5729 0.4231
Br 0.8266 0.7537 0.4036
Br 0.8501 0.4231 0.0964
Br 0.8501 0.9271 0.7537
Br 0.9036 0.1499 0.5769
Br 0.9036 0.2537 0.3266
Br 0.9231 0.0729 0.3266
Br 0.9231 0.3501 0.5964
Br 0.9271 0.6734 0.0769
Br 0.9271 0.7537 0.8501

Summary:
The uncorrected formation energy is -2287.5 kJ/mol of formula units.



Record 4
KRb3Br6 after structural relaxation. Source: Alexandria via LeMat-Bulk, functional GGA-PBE.

Unit cell a=8.9659 b=8.9659 c=8.9659 alpha=60.00 beta=60.00 gamma=60.00
Fractional positions:
K 0.0000 0.0000 0.0000
Rb 0.2500 0.2500 0.2500
Rb 0.5000 0.5000 0.5000
Rb 0.7500 0.7500 0.7500
Br 0.2451 0.2451 0.7549
Br 0.2451 0.7549 0.2451
Br 0.2451 0.7549 0.7549
Br 0.7549 0.2451 0.2451
Br 0.7549 0.2451 0.7549
Br 0.7549 0.7549 0.2451

Summary:
The uncorrected formation energy is -1035.8 kJ/mol of formula units.



Record 5
KRbBr2 after structural relaxation. Source: Alexandria via LeMat-Bulk, functional GGA-PBE.

Unit cell a=8.2362 b=8.2362 c=8.2362 alpha=90.00 beta=90.00 gamma=90.00
Fractional positions:
K 0.0000 0.0000 0.0000
K 0.0000 0.5000 0.5000
K 0.5000 0.0000 0.5000
K 0.5000 0.5000 0.0000
Rb 0.0000 0.0000 0.5000
Rb 0.0000 0.5000 0.0000
Rb 0.5000 0.0000 0.0000
Rb 0.5000 0.5000 0.5000
Br 0.2500 0.2500 0.2500
Br 0.2500 0.2500 0.7500
Br 0.2500 0.7500 0.2500
Br 0.2500 0.7500 0.7500
Br 0.7500 0.2500 0.2500
Br 0.7500 0.2500 0.7500
Br 0.7500 0.7500 0.2500
Br 0.7500 0.7500 0.7500

Summary:
The uncorrected formation energy is -648.6 kJ/mol of formula units. The energy above the lowest structure with this stoichiometry comes out at 0.066 eV per atom.



Record 6
K2Rb2Br after structural relaxation. Source: Alexandria via LeMat-Bulk, functional GGA-PBE.

Unit cell a=9.0479 b=9.0479 c=8.5285 alpha=90.00 beta=90.00 gamma=90.00
Fractional positions:
K 0.1860 0.3140 0.0000
K 0.3140 0.8140 0.0000
K 0.6860 0.1860 0.0000
K 0.8140 0.6860 0.0000
Rb 0.1752 0.6752 0.5000
Rb 0.3248 0.1752 0.5000
Rb 0.6752 0.8248 0.5000
Rb 0.8248 0.3248 0.5000
Br 0.0000 0.0000 0.0000
Br 0.5000 0.5000 0.0000

Summary:
The uncorrected formation energy is -263.6 kJ/mol of formula units. The energy above the lowest structure with this stoichiometry comes out at 0.004 eV per atom.



Record 7
KRb3Br4 after structural relaxation. Source: Alexandria via LeMat-Bulk, functional GGA-PBE.

Unit cell a=9.8040 b=13.8583 c=4.8991 alpha=90.00 beta=90.00 gamma=90.00
Fractional positions:
K 0.0000 0.0000 0.0000
K 0.5000 0.5000 0.0000
Rb 0.0000 0.5000 0.0000
Rb 0.2500 0.2500 0.5000
Rb 0.2500 0.7500 0.5000
Rb 0.5000 0.0000 0.0000
Rb 0.7500 0.2500 0.5000
Rb 0.7500 0.7500 0.5000
Br 0.0000 0.2457 0.0000
Br 0.0000 0.7543 0.0000
Br 0.2426 0.0000 0.5000
Br 0.2574 0.5000 0.5000
Br 0.5000 0.2543 0.0000
Br 0.5000 0.7457 0.0000
Br 0.7426 0.5000 0.5000
Br 0.7574 0.0000 0.5000

Summary:
The uncorrected formation energy is -1348.0 kJ/mol of formula units.



Record 8
KRb2Br4 after structural relaxation. Source: Alexandria via LeMat-Bulk, functional GGA-PBE.

Unit cell a=6.1729 b=6.1729 c=17.4583 alpha=90.00 beta=90.00 gamma=90.00
Fractional positions:
K 0.0000 0.0000 0.0000
K 0.5000 0.5000 0.5000
Rb 0.0000 0.0000 0.3793
Rb 0.0000 0.0000 0.6207
Rb 0.5000 0.5000 0.1207
Rb 0.5000 0.5000 0.8793
Br 0.0000 0.0000 0.1868
Br 0.0000 0.0000 0.8132
Br 0.0000 0.5000 0.0000
Br 0.0000 0.5000 0.5000
Br 0.5000 0.0000 0.0000
Br 0.5000 0.0000 0.5000
Br 0.5000 0.5000 0.3132
Br 0.5000 0.5000 0.6868

Summary:
The uncorrected formation energy is -873.6 kJ/mol of formula units.



Record 9
KRbBr2 after structural relaxation. Source: Alexandria via LeMat-Bulk, functional GGA-PBE.

Unit cell a=5.2431 b=5.2431 c=28.9259 alpha=90.00 beta=90.00 gamma=120.00
Fractional positions:
K 0.0000 0.0000 0.0000
K 0.3333 0.6667 0.6667
K 0.6667 0.3333 0.3333
Rb 0.0000 0.0000 0.5000
Rb 0.3333 0.6667 0.1667
Rb 0.6667 0.3333 0.8333
Br 0.0000 0.0000 0.1033
Br 0.0000 0.0000 0.8967
Br 0.3333 0.6667 0.5633
Br 0.3333 0.6667 0.7700
Br 0.6667 0.3333 0.2300
Br 0.6667 0.3333 0.4367

Summary:
The uncorrected formation energy is -581.1 kJ/mol of formula units. The energy above the lowest structure with this stoichiometry comes out at 0.241 eV per atom.



Record 10
KRbBr2 after structural relaxation. Source: Alexandria via LeMat-Bulk, functional GGA-PBE.

Unit cell a=4.7391 b=4.7391 c=24.9618 alpha=90.00 beta=90.00 gamma=120.00
Fractional positions:
K 0.0000 0.0000 0.0000
K 0.3333 0.6667 0.6667
K 0.6667 0.3333 0.3333
Rb 0.0000 0.0000 0.1686
Rb 0.3333 0.6667 0.8353
Rb 0.6667 0.3333 0.5020
Br 0.0000 0.0000 0.5868
Br 0.0000 0.0000 0.7489
Br 0.3333 0.6667 0.2535
Br 0.3333 0.6667 0.4156
Br 0.6667 0.3333 0.0822
Br 0.6667 0.3333 0.9202

Summary:
The uncorrected formation energy is -662.4 kJ/mol of formula units. The energy above the lowest structure with this stoichiometry comes out at 0.031 eV per atom.



- Which of these has the highest uncorrected formation energy?
  K2Rb2Br



Please write out number 9 again, unchanged.
KRbBr2 after structural relaxation. Source: Alexandria via LeMat-Bulk, functional GGA-PBE.

Unit cell a=5.2431 b=5.2431 c=28.9259 alpha=90.00 beta=90.00 gamma=120.00
Fractional positions:
K 0.0000 0.0000 0.0000
K 0.3333 0.6667 0.6667
K 0.6667 0.3333 0.3333
Rb 0.0000 0.0000 0.5000
Rb 0.3333 0.6667 0.1667
Rb 0.6667 0.3333 0.8333
Br 0.0000 0.0000 0.1033
Br 0.0000 0.0000 0.8967
Br 0.3333 0.6667 0.5633
Br 0.3333 0.6667 0.7700
Br 0.6667 0.3333 0.2300
Br 0.6667 0.3333 0.4367

Summary:
The uncorrected formation energy is -581.1 kJ/mol of formula units. The energy above the lowest structure with this stoichiometry comes out at 0.241 eV per atom.



What did the tenth record say?
KRbBr2 after structural relaxation. Source: Alexandria via LeMat-Bulk, functional GGA-PBE.

Unit cell a=4.7391 b=4.7391 c=24.9618 alpha=90.00 beta=90.00 gamma=120.00
Fractional positions:
K 0.0000 0.0000 0.0000
K 0.3333 0.6667 0.6667
K 0.6667 0.3333 0.3333
Rb 0.0000 0.0000 0.1686
Rb 0.3333 0.6667 0.8353
Rb 0.6667 0.3333 0.5020
Br 0.0000 0.0000 0.5868
Br 0.0000 0.0000 0.7489
Br 0.3333 0.6667 0.2535
Br 0.3333 0.6667 0.4156
Br 0.6667 0.3333 0.0822
Br 0.6667 0.3333 0.9202

Summary:
The uncorrected formation energy is -662.4 kJ/mol of formula units. The energy above the lowest structure with this stoichiometry comes out at 0.031 eV per atom.



- Look up the uncorrected formation energy of the third one.
  -2287.5 kJ/mol of formula units